Record 1
First-principles (GGA-PBE) data for a geometry-optimized Sc2SiPb structure, as listed in Alexandria via LeMat-Bulk.

final energy: -5.289 eV/atom
energy relative to the elements, uncorrected: 0.16 eV/atom
space group: F-43m, No. 216

a = 5.021 Å, b = 5.021 Å, c = 5.021 Å
α = 60.00°, β = 60.00°, γ = 60.00°
Fractional positions:
Si: 0.750 0.750 0.750
Sc: 0.250 0.250 0.250
Sc: 0.000 0.000 0.000
Pb: 0.500 0.500 0.500

=====

Record 2
First-principles (GGA-PBE) data for a geometry-optimized PuUP structure, as listed in Alexandria via LeMat-Bulk.

final energy: -11.080 eV/atom
ΔE_f: -0.74 eV per atom
space group: P3m1, No. 156

a = 5.008 Å, b = 3.563 Å, c = 3.563 Å
α = 120.00°, β = 90.00°, γ = 90.00°
Fractional positions:
P: 0.658 0.333 0.667
Pu: 0.311 0.667 0.333
U: 0.031 0.000 0.000

=====

Record 3
First-principles (GGA-PBE) data for a geometry-optimized Cs2Be2Zn structure, as listed in Alexandria via LeMat-Bulk.

final energy: -1.188 eV/atom
ΔE_f: 0.90 eV per atom
space group: P4/mbm, No. 127

a = 7.170 Å, b = 7.170 Å, c = 5.855 Å
α = 90.00°, β = 90.00°, γ = 90.00°
Fractional positions:
Cs: 0.812 0.312 0.500
Cs: 0.688 0.812 0.500
Cs: 0.312 0.188 0.500
Cs: 0.188 0.688 0.500
Zn: 0.500 0.500 0.000
Zn: 0.000 0.000 0.000
Be: 0.390 0.890 0.000
Be: 0.890 0.610 0.000
Be: 0.610 0.110 0.000
Be: 0.110 0.390 0.000

=====

Record 4
First-principles (GGA-PBE) data for a geometry-optimized Pa4Ga3Tc structure, as listed in Alexandria via LeMat-Bulk.

final energy: -7.372 eV/atom
ΔE_f: -0.19 eV per atom
space group: Pmm2, No. 25

a = 3.394 Å, b = 4.408 Å, c = 11.444 Å
α = 90.00°, β = 90.00°, γ = 90.00°
Fractional positions:
Ga: 0.000 0.000 0.435
Ga: 0.000 0.500 0.563
Ga: 0.500 0.000 0.937
Pa: 0.500 0.500 0.323
Pa: 0.000 0.500 0.841
Pa: 0.500 0.000 0.671
Pa: 0.000 0.000 0.159
Tc: 0.500 0.500 0.073

=====

Record 5
First-principles (GGA-PBE) data for a geometry-optimized FeSe3 structure, as listed in Alexandria via LeMat-Bulk.

final energy: -4.584 eV/atom
energy relative to the elements, uncorrected: 0.15 eV/atom
space group: Immm, No. 71

a = 6.327 Å, b = 6.327 Å, c = 6.327 Å
α = 149.60°, β = 138.64°, γ = 52.19°
Fractional positions:
Se: 0.155 0.655 0.500
Se: 0.500 0.500 0.000
Se: 0.845 0.345 0.500
Fe: 0.000 0.000 0.000

=====

Record 6
First-principles (GGA-PBE) data for a geometry-optimized TcOs3W structure, as listed in Alexandria via LeMat-Bulk.

final energy: -8.906 eV/atom
ΔE_f: 2.50 eV per atom
space group: Pm-3m, No. 221

a = 4.680 Å, b = 4.680 Å, c = 4.680 Å
α = 90.00°, β = 90.00°, γ = 90.00°
Fractional positions:
W: 0.000 0.000 0.000
Os: 0.500 0.000 0.000
Os: 0.000 0.500 0.000
Os: 0.000 0.000 0.500
Tc: 0.500 0.500 0.500

=====

Record 7
First-principles (GGA-PBE) data for a geometry-optimized Hf3Be4Ga2 structure, as listed in Alexandria via LeMat-Bulk.

final energy: -5.988 eV/atom
ΔE_f: -0.34 eV per atom
space group: C2/m, No. 12

a = 3.907 Å, b = 5.111 Å, c = 7.526 Å
α = 109.45°, β = 90.00°, γ = 112.47°
Fractional positions:
Ga: 0.376 0.752 0.714
Ga: 0.624 0.248 0.286
Hf: 0.657 0.315 0.677
Hf: 0.000 0.000 0.000
Hf: 0.343 0.685 0.323
Be: 0.270 0.540 0.947
Be: 0.058 0.116 0.399
Be: 0.942 0.884 0.601
Be: 0.730 0.460 0.053

=====

Record 8
First-principles (GGA-PBE) data for a geometry-optimized BeBr3 structure, as listed in Alexandria via LeMat-Bulk.

final energy: -2.690 eV/atom
energy relative to the elements, uncorrected: -0.50 eV/atom
space group: Cmcm, No. 63

a = 10.039 Å, b = 10.039 Å, c = 4.907 Å
α = 90.00°, β = 90.00°, γ = 114.57°
Fractional positions:
Br: 0.176 0.465 0.250
Br: 0.978 0.022 0.750
Br: 0.535 0.824 0.250
Br: 0.465 0.176 0.750
Br: 0.824 0.535 0.750
Br: 0.022 0.978 0.250
Be: 0.645 0.355 0.750
Be: 0.355 0.645 0.250

=====

Record 9
First-principles (GGA-PBE) data for a geometry-optimized AcNb4AgN8 structure, as listed in Alexandria via LeMat-Bulk.

final energy: -8.682 eV/atom
energy relative to the elements, uncorrected: -0.55 eV/atom
space group: R3m, No. 160

a = 6.483 Å, b = 6.483 Å, c = 6.668 Å
α = 60.91°, β = 60.91°, γ = 60.00°
Fractional positions:
N: 0.825 0.242 0.691
N: 0.727 0.260 0.286
N: 0.727 0.727 0.286
N: 0.242 0.242 0.691
N: 0.234 0.234 0.297
N: 0.260 0.727 0.286
N: 0.242 0.825 0.691
N: 0.762 0.762 0.715
Ac: 0.379 0.379 0.862
Nb: 0.005 0.005 0.506
Nb: 0.005 0.484 0.506
Nb: 0.623 0.623 0.130
Nb: 0.484 0.005 0.506
Ag: 0.983 0.983 0.050

=====

Record 10
First-principles (GGA-PBE) data for a geometry-optimized LaY2Fe structure, as listed in Alexandria via LeMat-Bulk.

final energy: -6.272 eV/atom
ΔE_f: 0.31 eV per atom
space group: P2/m, No. 10

a = 4.665 Å, b = 3.729 Å, c = 6.626 Å
α = 73.21°, β = 90.00°, γ = 90.00°
Fractional positions:
La: 0.500 0.750 0.750
Y: 0.000 0.413 0.463
Y: 0.000 0.087 0.037
Fe: 0.500 0.250 0.250

=====

Record 11
First-principles (GGA-PBE) data for a geometry-optimized SmRuC structure, as listed in Alexandria via LeMat-Bulk.

final energy: -7.916 eV/atom
ΔE_f: -0.18 eV per atom
space group: C2/m, No. 12

a = 3.935 Å, b = 5.075 Å, c = 6.138 Å
α = 65.58°, β = 74.97°, γ = 90.00°
Fractional positions:
Ru: 0.819 0.583 0.834
Ru: 0.181 0.417 0.166
Sm: 0.667 0.852 0.297
Sm: 0.333 0.148 0.703
C: 0.346 0.611 0.778
C: 0.654 0.389 0.222

=====

Record 12
First-principles (GGA-PBE) data for a geometry-optimized TaCuH2 structure, as listed in Alexandria via LeMat-Bulk.

final energy: -5.510 eV/atom
space group: I-42d, No. 122

a = 4.075 Å, b = 4.075 Å, c = 5.355 Å
α = 67.64°, β = 67.64°, γ = 90.00°
Fractional positions:
Cu: 0.500 0.500 0.000
Cu: 0.250 0.750 0.500
Ta: 0.000 0.000 0.000
Ta: 0.750 0.250 0.500
H: 0.597 0.125 0.250
H: 0.375 0.403 0.750
H: 0.875 0.847 0.750
H: 0.153 0.625 0.250

=====

Record 13
First-principles (GGA-PBE) data for a geometry-optimized Y2Hg3Rh2 structure, as listed in Alexandria via LeMat-Bulk.

final energy: -4.546 eV/atom
ΔE_f: -0.47 eV per atom
space group: C2/m, No. 12

a = 4.134 Å, b = 5.544 Å, c = 7.388 Å
α = 96.50°, β = 90.00°, γ = 111.89°
Fractional positions:
Y: 0.378 0.757 0.638
Y: 0.622 0.243 0.362
Hg: 0.295 0.590 0.146
Hg: 0.705 0.410 0.854
Hg: 0.000 0.000 0.000
Rh: 0.911 0.822 0.357
Rh: 0.089 0.178 0.643

=====

Record 14
First-principles (GGA-PBE) data for a geometry-optimized CaHBr structure, as listed in Alexandria via LeMat-Bulk.

final energy: -3.589 eV/atom
space group: Pmn2_1, No. 31

a = 3.990 Å, b = 5.509 Å, c = 6.094 Å
α = 90.00°, β = 90.00°, γ = 90.00°
Fractional positions:
Br: 0.000 0.859 0.109
Br: 0.500 0.141 0.609
H: 0.000 0.593 0.594
H: 0.500 0.407 0.094
Ca: 0.500 0.640 0.407
Ca: 0.000 0.360 0.907

=====

Record 15
First-principles (GGA-PBE) data for a geometry-optimized Pm2As6Pd21 structure, as listed in Alexandria via LeMat-Bulk.

final energy: -5.561 eV/atom
ΔE_f: -0.51 eV per atom
space group: Fm-3m, No. 225

a = 8.862 Å, b = 8.862 Å, c = 8.862 Å
α = 60.00°, β = 60.00°, γ = 60.00°
Fractional positions:
Pd: 0.000 0.651 0.349
Pd: 0.616 0.616 0.153
Pd: 0.000 0.349 0.651
Pd: 0.000 0.000 0.349
Pd: 0.153 0.616 0.616
Pd: 0.384 0.847 0.384
Pd: 0.349 0.651 0.000
Pd: 0.384 0.384 0.384
Pd: 0.384 0.384 0.847
Pd: 0.651 0.349 0.000
Pd: 0.847 0.384 0.384
Pd: 0.616 0.616 0.616
Pd: 0.000 0.651 0.000
Pd: 0.349 0.000 0.651
Pd: 0.651 0.000 0.000
Pd: 0.000 0.000 0.651
Pd: 0.000 0.000 0.000
Pd: 0.616 0.153 0.616
Pd: 0.651 0.000 0.349
Pd: 0.000 0.349 0.000
Pd: 0.349 0.000 0.000
Pm: 0.250 0.250 0.250
Pm: 0.750 0.750 0.750
As: 0.261 0.261 0.739
As: 0.261 0.739 0.261
As: 0.739 0.261 0.739
As: 0.261 0.739 0.739
As: 0.739 0.739 0.261
As: 0.739 0.261 0.261

=====

Record 16
First-principles (GGA-PBE) data for a geometry-optimized KTc3Pt structure, as listed in Alexandria via LeMat-Bulk.

final energy: -5.811 eV/atom
ΔE_f: 1.84 eV per atom
space group: Pm-3m, No. 221

a = 4.972 Å, b = 4.972 Å, c = 4.972 Å
α = 90.00°, β = 90.00°, γ = 90.00°
Fractional positions:
Tc: 0.000 0.000 0.500
Tc: 0.000 0.500 0.000
Tc: 0.500 0.000 0.000
K: 0.500 0.500 0.500
Pt: 0.000 0.000 0.000

=====

Record 17
First-principles (GGA-PBE) data for a geometry-optimized AcTl2SbO6 structure, as listed in Alexandria via LeMat-Bulk.

final energy: -5.838 eV/atom
energy relative to the elements, uncorrected: -1.57 eV/atom
space group: P-1, No. 2

a = 5.912 Å, b = 6.198 Å, c = 8.727 Å
α = 89.33°, β = 92.90°, γ = 90.58°
Fractional positions:
O: 0.358 0.977 0.715
O: 0.060 0.389 0.787
O: 0.154 0.209 0.085
O: 0.292 0.659 0.015
O: 0.708 0.341 0.985
O: 0.241 0.199 0.435
O: 0.714 0.226 0.581
O: 0.940 0.611 0.213
O: 0.759 0.801 0.565
O: 0.846 0.791 0.915
O: 0.642 0.023 0.285
O: 0.286 0.774 0.419
Sb: 0.000 0.500 0.000
Sb: 0.500 0.000 0.500
Ac: 0.000 0.500 0.500
Ac: 0.500 0.000 0.000
Tl: 0.501 0.480 0.247
Tl: 0.020 0.975 0.262
Tl: 0.980 0.025 0.738
Tl: 0.499 0.520 0.753

=====

Record 18
First-principles (GGA-PBE) data for a geometry-optimized Cr2RhPb structure, as listed in Alexandria via LeMat-Bulk.

final energy: -7.133 eV/atom
ΔE_f: 0.44 eV per atom
space group: P2/m, No. 10

a = 4.154 Å, b = 2.909 Å, c = 6.159 Å
α = 62.01°, β = 90.00°, γ = 90.00°
Fractional positions:
Rh: 0.500 0.750 0.750
Pb: 0.500 0.250 0.250
Cr: 0.000 0.076 0.926
Cr: 0.000 0.424 0.574

=====

Record 19
First-principles (GGA-PBE) data for a geometry-optimized Na4TiAs2O9 structure, as listed in Alexandria via LeMat-Bulk.

final energy: -6.108 eV/atom
energy relative to the elements, uncorrected: -1.91 eV/atom
space group: C2/m, No. 12

a = 8.828 Å, b = 8.828 Å, c = 7.872 Å
α = 89.88°, β = 89.88°, γ = 48.60°
Fractional positions:
O: 0.655 0.655 0.563
O: 0.493 0.493 0.214
O: 0.982 0.382 0.210
O: 0.143 0.143 0.490
O: 0.507 0.507 0.786
O: 0.034 0.034 0.186
O: 0.618 0.018 0.790
O: 0.758 0.758 0.069
O: 0.158 0.555 0.130
O: 0.842 0.445 0.870
O: 0.445 0.842 0.870
O: 0.018 0.618 0.790
O: 0.857 0.857 0.510
O: 0.966 0.966 0.814
O: 0.382 0.982 0.210
O: 0.242 0.242 0.931
O: 0.555 0.158 0.130
O: 0.345 0.345 0.437
Na: 0.747 0.253 0.000
Na: 0.108 0.108 0.760
Na: 0.892 0.892 0.240
Na: 0.000 0.500 0.500
Na: 0.626 0.626 0.279
Na: 0.374 0.374 0.721
Na: 0.253 0.747 0.000
Na: 0.500 0.000 0.500
Ti: 0.500 0.000 0.000
Ti: 0.000 0.500 0.000
As: 0.612 0.612 0.760
As: 0.130 0.130 0.277
As: 0.870 0.870 0.723
As: 0.388 0.388 0.240

=====

Record 20
First-principles (GGA-PBE) data for a geometry-optimized AlInRh2 structure, as listed in Alexandria via LeMat-Bulk.

final energy: -5.755 eV/atom
ΔE_f: -0.46 eV per atom
space group: R-3m, No. 166

a = 8.446 Å, b = 8.446 Å, c = 8.446 Å
α = 20.33°, β = 20.33°, γ = 20.33°
Fractional positions:
Rh: 0.993 0.993 0.993
Rh: 0.507 0.507 0.507
In: 0.750 0.750 0.750
Al: 0.250 0.250 0.250

=====

Record 21
First-principles (GGA-PBE) data for a geometry-optimized Ce3ErTl3 structure, as listed in Alexandria via LeMat-Bulk.

final energy: -4.288 eV/atom
ΔE_f: -0.08 eV per atom
space group: P6_3/m, No. 176

a = 5.095 Å, b = 9.499 Å, c = 9.499 Å
α = 120.00°, β = 90.00°, γ = 90.00°
Fractional positions:
Er: 0.750 0.333 0.667
Er: 0.250 0.667 0.333
Tl: 0.250 0.384 0.462
Tl: 0.250 0.078 0.616
Tl: 0.750 0.616 0.538
Tl: 0.250 0.538 0.922
Tl: 0.750 0.462 0.078
Tl: 0.750 0.922 0.384
Ce: 0.250 0.994 0.220
Ce: 0.750 0.006 0.780
Ce: 0.750 0.774 0.994
Ce: 0.750 0.220 0.226
Ce: 0.250 0.780 0.774
Ce: 0.250 0.226 0.006

=====

Record 22
First-principles (GGA-PBE) data for a geometry-optimized Cr3GaCu structure, as listed in Alexandria via LeMat-Bulk.

final energy: -5.974 eV/atom
ΔE_f: 1.23 eV per atom
space group: Pm-3m, No. 221

a = 4.602 Å, b = 4.602 Å, c = 4.602 Å
α = 90.00°, β = 90.00°, γ = 90.00°
Fractional positions:
Cr: 0.000 0.500 0.000
Cr: 0.500 0.000 0.000
Cr: 0.000 0.000 0.500
Cu: 0.000 0.000 0.000
Ga: 0.500 0.500 0.500

=====

Record 23
First-principles (GGA-PBE) data for a geometry-optimized CaMgBSb2 structure, as listed in Alexandria via LeMat-Bulk.

final energy: -3.558 eV/atom
energy relative to the elements, uncorrected: 0.15 eV/atom
space group: P4/mmm, No. 123

a = 5.197 Å, b = 4.394 Å, c = 5.197 Å
α = 90.00°, β = 90.00°, γ = 90.00°
Fractional positions:
Mg: 0.000 0.500 0.000
B: 0.000 0.000 0.000
Sb: 0.000 0.000 0.500
Sb: 0.500 0.000 0.000
Ca: 0.500 0.500 0.500

=====

Number 1: spin magnetization 0.00 μB/atom. Number 2: spin magnetization 0.00 μB/atom. Number 3: spin magnetization 0.00 μB/atom. Number 4: spin magnetization 0.00 μB/atom. Number 5: spin magnetization 0.52 μB/atom. Number 6: spin magnetization 0.63 μB/atom. Number 7: spin magnetization 0.00 μB/atom. Number 8: spin magnetization 0.00 μB/atom. Number 9: spin magnetization 0.00 μB/atom. Number 10: spin magnetization 0.39 μB/atom. Number 11: spin magnetization 0.00 μB/atom. Number 12: spin magnetization 0.00 μB/atom. Number 13: spin magnetization 0.00 μB/atom. Number 14: spin magnetization 0.00 μB/atom. Number 15: spin magnetization 0.00 μB/atom. Number 16: spin magnetization 1.40 μB/atom. Number 17: spin magnetization 0.00 μB/atom. Number 18: spin magnetization 0.00 μB/atom. Number 19: spin magnetization 0.00 μB/atom. Number 20: spin magnetization 0.00 μB/atom. Number 21: spin magnetization 0.47 μB/atom. Number 22: spin magnetization 2.31 μB/atom. Number 23: spin magnetization 0.00 μB/atom.